1.
Here is an optimized crystal structure of Sr2Pb6Au from the Alexandria database. Energies are from PBE.

It has space group Amm2 (No. 38), with a = 4.852 Å, b = 4.718 Å, c = 25.704 Å, α = 90.00°, β = 90.00° and γ = 90.00°. Symmetry generates all atoms from Sr at (0.000, 0.000, 0.000), Sr at (0.000, 0.000, 0.345), Pb at (0.000, 0.000, 0.605), Pb at (0.000, 0.000, 0.728), Pb at (0.500, 0.000, 0.102), Pb at (0.500, 0.000, 0.224), Pb at (0.500, 0.000, 0.481), Pb at (0.500, 0.000, 0.902) and Au at (0.500, 0.000, 0.795).

Its total magnetization is 0.0000 μB/atom. For the density of states at the Fermi level, the calculation gives 0.413 states/eV per atom. The formation energy is -252 meV/atom.

2.
Here is an optimized crystal structure of SrPb3Au from the Alexandria database. Energies are from PBE.

It has space group Pnma (No. 62), with a = 10.683 Å, b = 4.617 Å, c = 12.667 Å, α = 90.00°, β = 90.00° and γ = 90.00°. Symmetry generates all atoms from Sr at (0.193, 0.250, 0.001), Pb at (0.052, 0.250, 0.404), Pb at (0.091, 0.750, 0.211), Pb at (0.170, 0.750, 0.780) and Au at (0.143, 0.250, 0.625).

Its total magnetization is 0.0000 μB/atom. Its excess energy over the best structure of this formula in the dataset is 0.0 meV per atom. For the density of states at the Fermi level, the calculation gives 0.539 states/eV per atom. The formation energy is -290 meV/atom.

3.
Here is an optimized crystal structure of Sr2PbAu from the Alexandria database. Energies are from PBE.

It has space group Imm2 (No. 44), with a = 3.919 Å, b = 5.321 Å, c = 12.440 Å, α = 90.00°, β = 90.00° and γ = 90.00°. Symmetry generates all atoms from Sr at (0.000, 0.000, 0.000), Sr at (0.000, 0.500, 0.209), Pb at (0.000, 0.000, 0.409) and Au at (0.000, 0.500, 0.713).

Its total magnetization is 0.0000 μB/atom. For the density of states at the Fermi level, the calculation gives 0.350 states/eV per atom. The formation energy is -554 meV/atom.